(1)
Fe4Sn2N after structural relaxation. Source: the Alexandria database, functional PBE.

abc: 3.8745 3.8745 13.2618
angles: 90.00 90.00 90.00
Last column: nearest neighbours and their distance in Å.
Space group I4/mmm (No. 139)
Inequivalent atoms, fractional coordinates:
Fe (0.0000, 0.0000, 0.1397) x4  1 N 1.85
Fe (0.0000, 0.5000, 0.0000) x4  2 N 1.94
Sn (0.0000, 0.0000, 0.3396) x4  9 Fe 2.65-2.88
N (0.0000, 0.0000, 0.0000) x2  6 Fe 1.85-1.94

Output
As for the density of states at the Fermi level: 12.2 states/eV/cell. The total energy comes out at -99.52 eV per cell. As for the crystal system: tetragonal. The formation energy (no corrections) is 0.0601 eV/atom.

---

(2)
PmPt3O6 after structural relaxation. Source: the Alexandria database, functional PBE.

abc: 7.1832 10.2351 3.5549
angles: 90.00 90.00 90.00
Last column: nearest neighbours and their distance in Å.
Space group Cmmm (No. 65)
Inequivalent atoms, fractional coordinates:
Pm (0.0000, 0.0000, 0.0000) x2  8 O 2.38-2.51
Pt (0.0000, 0.5000, 0.0000) x2  4 O 2.01
Pt (0.2500, 0.2500, 0.5000) x4  6 O 2.04-2.17
O (0.0000, 0.1545, 0.5000) x4  2 Pt 2.04
O (0.2065, 0.3675, 0.0000) x8  3 Pt 2.01-2.17

Output
As for the density of states at the Fermi level: 8.1 states/eV/cell. The total energy comes out at -128.60 eV per cell. As for the crystal system: orthorhombic. The formation energy (no corrections) is -1.1675 eV/atom.

---

(3)
Nd3Sm6Tm2Mg after structural relaxation. Source: the Alexandria database, functional PBE.

abc: 6.2476 10.8348 11.8076
angles: 90.00 100.25 90.00
Last column: nearest neighbours and their distance in Å.
Space group C2/m (No. 12)
Inequivalent atoms, fractional coordinates:
Nd (0.0000, 0.0000, 0.0000) x2  6 Nd 3.61, 6 Sm 3.63-3.64
Nd (0.0000, 0.3335, 0.0000) x4  6 Nd 3.61, 6 Sm 3.63-3.65
Sm (0.2457, 0.3338, 0.7427) x8  1 Mg 3.50, 2 Tm 3.51-3.52, 6 Sm 3.60-3.62, 3 Nd 3.64-3.65
Sm (0.2474, 0.0000, 0.7441) x4  2 Tm 3.51, 1 Mg 3.52, 6 Sm 3.60-3.62, 3 Nd 3.63
Tm (0.0000, 0.1662, 0.5000) x4  6 Sm 3.51-3.52, 3 Tm 3.60-3.61, 3 Mg 3.61-3.62
Mg (0.0000, 0.5000, 0.5000) x2  6 Sm 3.50-3.52, 6 Tm 3.61-3.62

Output
As for the density of states at the Fermi level: 30.6 states/eV/cell. The total energy comes out at -105.53 eV per cell. The calculation puts the formation energy at 0.76 kcal/mol of atoms. As for the crystal system: monoclinic.

---

(4)
Sc2BiP after structural relaxation. Source: the Alexandria database, functional PBE.

abc: 4.5587 4.5587 23.1269
angles: 90.00 90.00 120.00
Last column: nearest neighbours and their distance in Å.
Space group R-3m (No. 166, hexagonal axes)
Inequivalent atoms, fractional coordinates:
Sc (0.0000, 0.0000, 0.1014) x6  1 P 2.35
Bi (0.0000, 0.0000, 0.5000) x3  6 Sc 3.03
P (0.0000, 0.0000, 0.0000) x3  2 Sc 2.35

Output
As for the density of states at the Fermi level: 1.4 states/eV/cell. The total energy comes out at -67.51 eV per cell. The calculation puts the formation energy at -3.18 kcal/mol of atoms. As for the crystal system: trigonal.